<1>
First-principles (PBE) data for a relaxed structure of NdThTl, as listed in Alexandria via LeMat-Bulk.

space group = P2_1/m (11)

```
NdThTl
1.0
3.6738 -0.0006 -0.0445
0.0009 5.0833 -0.0099
-1.7002 0.0201 10.1253
Nd Th Tl
2 2 2
Cartesian
0.9631 1.2764 2.9213 Nd
1.0113 3.8264 7.1497 Nd
-0.7922 1.2894 9.3983 Th
2.7667 3.8135 0.6727 Th
-0.8431 1.2828 6.0166 Tl
2.8176 3.8201 4.0544 Tl
```

***

<2>
First-principles (PBE) data for a relaxed structure of NdThTl, as listed in Alexandria via LeMat-Bulk.

space group = R-3m (166)

```
NdThTl
1.0
-3.6892 -2.2583 -3.2558
1.5817 -3.1599 -4.1017
-1.0144 -7.9758 2.1804
Tl Th Nd
2 2 2
Cartesian
-1.4983 -5.4586 -3.5185 Tl
-1.6235 -7.9354 -1.6586 Tl
-0.7400 -2.5488 -1.8948 Th
-2.3818 -10.8453 -3.2823 Th
-2.2271 -7.7846 -5.5806 Nd
-0.8948 -5.6094 0.4035 Nd
```

***

Quick one: most stable of them? <1>